Density functional theory data (PBE-GGA) for a relaxed structure of TcPt.

```
4
Lattice="3.3088 0.0000 0.0000 0.0000 3.3088 0.0000 0.0000 0.0000 5.5913" Properties=species:S:1:pos:R:3 pbc="T T T"
Pt 0.0000 0.0000 5.5820
Pt 1.6544 1.6544 1.4071
Tc 0.0000 0.0000 2.8478
Tc 1.6544 1.6544 4.1414
```

relative energy among the computed polymorphs: 230.7 meV per atom
size of the total moment: 0.0 Bohr magnetons per cell
formation enthalpy at 0 K: 0.073 eV/atom

Density functional theory data (PBE-GGA) for a relaxed structure of TcPt4.

```
5
Lattice="-2.2190 -2.1774 3.9180 -0.4927 4.9648 0.3518 -2.1450 -1.5928 -4.2282" Properties=species:S:1:pos:R:3 pbc="T T T"
Tc 0.0000 0.0000 0.0000
Pt -1.1095 -1.0887 1.9590
Pt -2.4283 0.5973 0.0208
Pt -0.2463 2.4824 0.1759
Pt -1.0725 -0.7964 -2.1141
```

relative energy among the computed polymorphs: 722.5 meV per atom
size of the total moment: 0.0 Bohr magnetons per cell
formation enthalpy at 0 K: 0.595 eV/atom

What is the formula in the second record?
TcPt4

relative energy among the computed polymorphs of number 1 (TcPt)?
230.7 meV per atom

Copy entry 2 word for word.
Density functional theory data (PBE-GGA) for a relaxed structure of TcPt4.

```
5
Lattice="-2.2190 -2.1774 3.9180 -0.4927 4.9648 0.3518 -2.1450 -1.5928 -4.2282" Properties=species:S:1:pos:R:3 pbc="T T T"
Tc 0.0000 0.0000 0.0000
Pt -1.1095 -1.0887 1.9590
Pt -2.4283 0.5973 0.0208
Pt -0.2463 2.4824 0.1759
Pt -1.0725 -0.7964 -2.1141
```

relative energy among the computed polymorphs: 722.5 meV per atom
size of the total moment: 0.0 Bohr magnetons per cell
formation enthalpy at 0 K: 0.595 eV/atom